No. 1
{
  "formula": "P2SOF",
  "functional": "PBE",
  "state": "optimized geometry",
  "lattice": [[4.146, 0.000, 0.000], [0.000, 4.146, 0.000], [0.000, 0.000, 4.199]],
  "species": ["P", "P", "S", "O", "F"],
  "frac_coords": [[0.000, 0.500, 0.000], [0.500, 0.000, 0.000], [0.000, 0.000, 0.500], [0.000, 0.000, 0.000], [0.500, 0.500, 0.500]],
  "density_g_cm3": 3.0,
  "magmom_total_mub_per_fu": 0.0,
  "formation_energy_uncorrected_ev_per_atom": 0.65,
  "dft_energy_ev_per_atom": -3.701
}

---

No. 2
{
  "formula": "PSO2F",
  "functional": "PBE",
  "state": "optimized geometry",
  "lattice": [[4.238, 0.000, 0.000], [0.000, 4.238, 0.000], [0.000, 0.000, 3.771]],
  "species": ["P", "S", "O", "O", "F"],
  "frac_coords": [[0.000, 0.000, 0.500], [0.500, 0.500, 0.500], [0.000, 0.500, 0.000], [0.500, 0.000, 0.000], [0.000, 0.000, 0.000]],
  "density_g_cm3": 2.8,
  "magmom_total_mub_per_fu": 3.5,
  "formation_energy_uncorrected_ev_per_atom": 1.18,
  "dft_energy_ev_per_atom": -3.083
}

---

No. 3
{
  "formula": "PS2OF",
  "functional": "PBE",
  "state": "optimized geometry",
  "lattice": [[4.998, 0.000, 0.000], [0.000, 4.998, 0.000], [0.000, 0.000, 3.646]],
  "species": ["P", "S", "S", "O", "F"],
  "frac_coords": [[0.000, 0.000, 0.500], [0.000, 0.500, 0.000], [0.500, 0.000, 0.000], [0.500, 0.500, 0.500], [0.000, 0.000, 0.000]],
  "density_g_cm3": 2.4,
  "magmom_total_mub_per_fu": 1.7,
  "formation_energy_uncorrected_ev_per_atom": 1.46,
  "dft_energy_ev_per_atom": -2.638
}

---

No. 4
{
  "formula": "PSOF2",
  "functional": "PBE",
  "state": "optimized geometry",
  "lattice": [[4.579, 0.000, 0.000], [0.000, 4.579, 0.000], [0.000, 0.000, 3.382]],
  "species": ["P", "S", "O", "F", "F"],
  "frac_coords": [[0.500, 0.500, 0.500], [0.000, 0.000, 0.000], [0.000, 0.000, 0.500], [0.000, 0.500, 0.000], [0.500, 0.000, 0.000]],
  "density_g_cm3": 2.7,
  "magmom_total_mub_per_fu": 1.9,
  "formation_energy_uncorrected_ev_per_atom": 0.13,
  "dft_energy_ev_per_atom": -3.520
}

---

No. 5
{
  "formula": "PSO2F",
  "functional": "PBE",
  "state": "optimized geometry",
  "lattice": [[-0.120, -3.017, 1.595], [3.198, -0.656, -1.002], [1.725, 2.111, 4.122]],
  "species": ["P", "S", "O", "O", "F"],
  "frac_coords": [[0.000, 0.000, 0.500], [0.000, 0.000, 0.000], [0.000, 0.500, 0.000], [0.500, 0.000, 0.000], [0.500, 0.500, 0.500]],
  "density_g_cm3": 3.3,
  "magmom_total_mub_per_fu": 0.0,
  "formation_energy_uncorrected_ev_per_atom": 0.05,
  "dft_energy_ev_per_atom": -4.217
}

---

No. 6
{
  "formula": "P2SOF",
  "functional": "PBE",
  "state": "optimized geometry",
  "lattice": [[-2.070, -3.807, -1.765], [2.365, -2.684, 3.016], [-2.516, 0.321, 2.259]],
  "species": ["P", "P", "S", "O", "F"],
  "frac_coords": [[0.000, 0.500, 0.000], [0.500, 0.000, 0.000], [0.000, 0.000, 0.000], [0.000, 0.000, 0.500], [0.500, 0.500, 0.500]],
  "density_g_cm3": 2.9,
  "magmom_total_mub_per_fu": 0.0,
  "formation_energy_uncorrected_ev_per_atom": 0.50,
  "dft_energy_ev_per_atom": -3.852
}

---

No. 7
{
  "formula": "PSO2F",
  "functional": "PBE",
  "state": "optimized geometry",
  "lattice": [[3.295, 0.000, 0.000], [0.000, 3.295, 0.000], [0.000, 0.000, 6.001]],
  "species": ["P", "S", "O", "O", "F"],
  "frac_coords": [[0.000, 0.000, 0.000], [0.500, 0.500, 0.500], [0.000, 0.500, 0.000], [0.500, 0.000, 0.000], [0.000, 0.000, 0.500]],
  "density_g_cm3": 2.9,
  "magmom_total_mub_per_fu": 0.0,
  "formation_energy_uncorrected_ev_per_atom": -0.33,
  "dft_energy_ev_per_atom": -4.593
}

---

No. 8
{
  "formula": "PSOF2",
  "functional": "PBE",
  "state": "optimized geometry",
  "lattice": [[4.352, 0.000, 0.000], [0.000, 4.352, 0.000], [0.000, 0.000, 3.491]],
  "species": ["P", "S", "O", "F", "F"],
  "frac_coords": [[0.000, 0.000, 0.000], [0.500, 0.500, 0.500], [0.000, 0.000, 0.500], [0.000, 0.500, 0.000], [0.500, 0.000, 0.000]],
  "density_g_cm3": 2.9,
  "magmom_total_mub_per_fu": 2.6,
  "formation_energy_uncorrected_ev_per_atom": -0.41,
  "dft_energy_ev_per_atom": -4.059
}

---

No. 9
{
  "formula": "PSO2F",
  "functional": "PBE",
  "state": "optimized geometry",
  "lattice": [[3.436, 0.000, 0.000], [0.000, 3.436, 0.000], [0.000, 0.000, 6.753]],
  "species": ["P", "S", "O", "O", "F"],
  "frac_coords": [[0.500, 0.500, 0.500], [0.000, 0.000, 0.000], [0.000, 0.500, 0.000], [0.500, 0.000, 0.000], [0.000, 0.000, 0.500]],
  "density_g_cm3": 2.4,
  "magmom_total_mub_per_fu": 1.5,
  "formation_energy_uncorrected_ev_per_atom": 0.23,
  "dft_energy_ev_per_atom": -4.033
}

---

No. 10
{
  "formula": "P2SOF",
  "functional": "PBE",
  "state": "optimized geometry",
  "lattice": [[-4.012, 1.488, 0.457], [-0.515, -2.461, 3.493], [1.311, 2.857, 2.206]],
  "species": ["P", "P", "S", "O", "F"],
  "frac_coords": [[0.000, 0.500, 0.000], [0.500, 0.000, 0.000], [0.500, 0.500, 0.500], [0.000, 0.000, 0.500], [0.000, 0.000, 0.000]],
  "density_g_cm3": 3.0,
  "magmom_total_mub_per_fu": 0.0,
  "formation_energy_uncorrected_ev_per_atom": 1.06,
  "dft_energy_ev_per_atom": -3.298
}

---

No. 11
{
  "formula": "PS2OF",
  "functional": "PBE",
  "state": "optimized geometry",
  "lattice": [[-1.767, 3.215, 2.046], [-1.871, -2.696, 2.622], [3.279, 0.189, 2.534]],
  "species": ["P", "S", "S", "O", "F"],
  "frac_coords": [[0.000, 0.000, 0.500], [0.000, 0.500, 0.000], [0.500, 0.000, 0.000], [0.000, 0.000, 0.000], [0.500, 0.500, 0.500]],
  "density_g_cm3": 3.0,
  "magmom_total_mub_per_fu": 0.0,
  "formation_energy_uncorrected_ev_per_atom": 0.77,
  "dft_energy_ev_per_atom": -3.325
}

---

No. 12
{
  "formula": "Sb2POF13",
  "functional": "PBE",
  "state": "optimized geometry",
  "lattice": [[15.030, 0.000, 0.000], [0.000, 7.377, 0.041], [0.000, 1.413, 10.522]],
  "species": ["Sb", "Sb", "Sb", "Sb", "Sb", "Sb", "Sb", "Sb", "P", "P", "P", "P", "O", "O", "O", "O", "F", "F", "F", "F", "F", "F", "F", "F", "F", "F", "F", "F", "F", "F", "F", "F", "F", "F", "F", "F", "F", "F", "F", "F", "F", "F", "F", "F", "F", "F", "F", "F", "F", "F", "F", "F", "F", "F", "F", "F", "F", "F", "F", "F", "F", "F", "F", "F", "F", "F", "F", "F"],
  "frac_coords": [[0.257, 0.145, 0.038], [0.743, 0.855, 0.962], [0.564, 0.218, 0.788], [0.936, 0.218, 0.288], [0.243, 0.145, 0.538], [0.757, 0.855, 0.462], [0.436, 0.782, 0.212], [0.064, 0.782, 0.712], [0.871, 0.231, 0.837], [0.629, 0.231, 0.337], [0.371, 0.769, 0.663], [0.129, 0.769, 0.163], [0.322, 0.944, 0.644], [0.678, 0.056, 0.356], [0.178, 0.944, 0.144], [0.822, 0.056, 0.856], [0.726, 0.033, 0.072], [0.996, 0.579, 0.783], [0.633, 0.324, 0.200], [0.639, 0.986, 0.860], [0.417, 0.868, 0.371], [0.340, 0.627, 0.582], [0.133, 0.676, 0.300], [0.033, 0.053, 0.319], [0.824, 0.339, 0.270], [0.774, 0.033, 0.572], [0.841, 0.689, 0.543], [0.159, 0.311, 0.457], [0.967, 0.947, 0.681], [0.917, 0.132, 0.129], [0.467, 0.053, 0.819], [0.083, 0.868, 0.871], [0.840, 0.373, 0.918], [0.583, 0.132, 0.629], [0.504, 0.579, 0.283], [0.745, 0.733, 0.319], [0.861, 0.986, 0.360], [0.176, 0.661, 0.730], [0.970, 0.206, 0.867], [0.341, 0.311, 0.957], [0.470, 0.794, 0.633], [0.659, 0.689, 0.043], [0.004, 0.421, 0.217], [0.226, 0.967, 0.428], [0.058, 0.733, 0.541], [0.846, 0.753, 0.042], [0.361, 0.014, 0.140], [0.558, 0.267, 0.959], [0.346, 0.247, 0.458], [0.030, 0.794, 0.133], [0.367, 0.676, 0.800], [0.160, 0.627, 0.082], [0.442, 0.733, 0.041], [0.654, 0.753, 0.542], [0.139, 0.014, 0.640], [0.274, 0.967, 0.928], [0.676, 0.339, 0.770], [0.255, 0.267, 0.681], [0.942, 0.267, 0.459], [0.867, 0.324, 0.700], [0.660, 0.373, 0.418], [0.530, 0.206, 0.367], [0.755, 0.733, 0.819], [0.324, 0.661, 0.230], [0.245, 0.267, 0.181], [0.496, 0.421, 0.717], [0.154, 0.247, 0.958], [0.533, 0.947, 0.181]],
  "density_g_cm3": 3.1,
  "magmom_total_mub_per_fu": 0.3,
  "formation_energy_uncorrected_ev_per_atom": -2.32,
  "dft_energy_ev_per_atom": -4.847
}